Entry 1:
# Nd3Te2C PBE relaxed
data_Nd3Te2C
_chemical_formula_sum 'Nd12 Te8 C4'
_symmetry_space_group_name_H-M 'C 1 2/c 1'
_symmetry_Int_Tables_number 15
_cell_length_a 14.095
_cell_length_b 6.204
_cell_length_c 8.036
_cell_angle_alpha 90.00
_cell_angle_beta 106.47
_cell_angle_gamma 90.00
loop_
_symmetry_equiv_pos_as_xyz
'x,y,z'
'-x,-y,-z'
'-x,y,-z+1/2'
'x,-y,z+1/2'
'x+1/2,y+1/2,z'
'-x+1/2,-y+1/2,-z'
'-x+1/2,y+1/2,-z+1/2'
'x+1/2,-y+1/2,z+1/2'
loop_
_atom_site_label
_atom_site_fract_x
_atom_site_fract_y
_atom_site_fract_z
Nd1 0.000 0.049 0.250
Nd2 0.127 0.499 0.564
Te1 0.179 0.001 0.090
C1 0.000 0.455 0.250
# Distance to the lowest polymorph of the same formula, meV per atom: 28
# Raw total energy, eV/cell: -142.19
# N(E_F), states/eV per cell: 9.28

Entry 2:
# Pr4Ir2Se PBE relaxed
data_Pr4Ir2Se
_chemical_formula_sum 'Pr16 Ir8 Se4'
_symmetry_space_group_name_H-M 'I -4 2 d'
_symmetry_Int_Tables_number 122
_symmetry_space_group_name_Hall 'I -4 2bw'
_cell_length_a 9.136
_cell_length_b 9.136
_cell_length_c 9.048
_cell_angle_alpha 90.00
_cell_angle_beta 90.00
_cell_angle_gamma 90.00
loop_
_atom_site_label
_atom_site_fract_x
_atom_site_fract_y
_atom_site_fract_z
Pr1 0.063 0.686 0.423
Ir1 0.111 0.750 0.125
Se1 0.000 0.000 0.500
# Raw total energy, eV/cell: -185.28
# N(E_F), states/eV per cell: 22.89